# AcPmY5Ho2 | Alexandria | PBE | relaxed
data_AcPmY5Ho2
_chemical_formula_sum 'Ac4 Pm4 Y20 Ho8'
_space_group_name_H-M_alt 'C m c 21'
_space_group_IT_number 36
_cell_length_a 5.583
_cell_length_b 23.826
_cell_length_c 9.403
_cell_angle_alpha 90.00
_cell_angle_beta 90.00
_cell_angle_gamma 90.00
loop_
_space_group_symop_operation_xyz
'x,y,z'
'-x,-y,z+1/2'
'-x,y,z'
'x,-y,z+1/2'
'x+1/2,y+1/2,z'
'-x+1/2,-y+1/2,z+1/2'
'-x+1/2,y+1/2,z'
'x+1/2,-y+1/2,z+1/2'
loop_
_atom_site_label
_atom_site_type_symbol
_atom_site_fract_x
_atom_site_fract_y
_atom_site_fract_z
_atom_site_occupancy
Ac1 Ac 0.000 0.102 0.000 1
Pm1 Pm 0.000 0.262 0.608 1
Y1 Y 0.000 0.025 0.320 1
Y2 Y 0.000 0.103 0.603 1
Y3 Y 0.000 0.190 0.300 1
Y4 Y 0.000 0.242 0.935 1
Y5 Y 0.000 0.493 0.094 1
Ho1 Ho 0.000 0.331 0.246 1
Ho2 Ho 0.000 0.387 0.858 1
# Total energy ... -5.43 eV/atom
# Energy of formation ... 0.16 eV/atom

=====

# Ac5Pr6Ho | Alexandria | PBE | relaxed
data_Ac5Pr6Ho
_chemical_formula_sum 'Ac10 Pr12 Ho2'
_space_group_name_H-M_alt 'I m m m'
_space_group_IT_number 71
_space_group_name_Hall '-I 2 2'
_cell_length_a 5.441
_cell_length_b 10.667
_cell_length_c 16.233
_cell_angle_alpha 90.00
_cell_angle_beta 90.00
_cell_angle_gamma 90.00
loop_
_atom_site_label
_atom_site_type_symbol
_atom_site_fract_x
_atom_site_fract_y
_atom_site_fract_z
_atom_site_occupancy
Ac1 Ac 0.000 0.000 0.000 1
Ac2 Ac 0.000 0.000 0.338 1
Ac3 Ac 0.000 0.500 0.333 1
Pr1 Pr 0.000 0.246 0.500 1
Pr2 Pr 0.000 0.253 0.165 1
Ho1 Ho 0.000 0.500 0.000 1
# Total energy ... -4.45 eV/atom
# Energy of formation ... 0.03 eV/atom

=====

- energy of formation of number 1 (AcPmY5Ho2)?
  0.16 eV/atom